DFT (GGA-PBE) results for Y5ScP6 after structural relaxation.

As for the total energy: -7.517 eV per atom. As for the energy of formation: -19.09 eV per formula unit. The calculation puts the density of states at the Fermi level at 0.10 states/eV/atom.

Geometry as POSCAR:
```
Y5ScP6
1.0
6.8047 0.1675 1.0346
1.6734 5.7717 3.3649
0.1154 0.0627 6.8835
P Y Sc
6 5 1
Direct
0.2446 0.5932 0.3254 P
0.7554 0.0814 0.3254 P
0.2446 0.9186 0.6746 P
0.7544 0.7566 0.0000 P
0.7554 0.4068 0.6746 P
0.2456 0.2434 0.0000 P
0.0000 0.3338 0.3325 Y
0.5000 0.8319 0.3362 Y
0.0000 0.6662 0.6675 Y
0.5000 0.5000 0.0000 Y
0.5000 0.1681 0.6638 Y
0.0000 0.0000 0.0000 Sc
```